Below is crystalline ZrNbO2 at its relaxed geometry, with properties calculated at the PBE-GGA level.

a b c (Å): 7.143 7.143 7.143
angles (deg): 24.66 24.66 24.66
Positions (direct):
O 0.899 0.899 0.899
O 0.101 0.101 0.101
Zr 0.000 0.000 0.000
Nb 0.500 0.500 0.500

## Properties
formation energy without anion corrections	-1751.0	meV per atom
excess energy over the best structure of this formula in the dataset	237.1	meV/atom
Fermi-level density of states	3.01	states/eV/cell
V	55.79	Å³/cell
SG	No. 166